1.
VASP calculation (meta-GGA SCAN) on a PBEsol-optimized structure of GaNi3H.

Cell and atoms, written as CIF:
```
data_GaNi3H
_chemical_formula_sum 'Ga1 Ni3 H1'
_cell_length_a 3.576
_cell_length_b 3.576
_cell_length_c 3.576
_cell_angle_alpha 90.00
_cell_angle_beta 90.00
_cell_angle_gamma 90.00
_space_group_name_H-M_alt 'P 1'
_space_group_IT_number 1
_space_group_name_Hall 'P 1'
loop_
_atom_site_label
_atom_site_fract_x
_atom_site_fract_y
_atom_site_fract_z
_atom_site_occupancy
H1 0.000 0.000 0.000 1
Ga1 0.500 0.500 0.500 1
Ni1 0.000 0.500 0.000 1
Ni2 0.500 0.000 0.000 1
Ni3 0.000 0.000 0.500 1
```

space group	Pm-3m, No. 221

***

2.
VASP calculation (meta-GGA SCAN) on a PBEsol-optimized structure of Ga2SiNiH.

Cell and atoms, written as CIF:
```
data_Ga2SiNiH
_chemical_formula_sum 'Ga2 Si1 Ni1 H1'
_cell_length_a 3.643
_cell_length_b 4.072
_cell_length_c 4.072
_cell_angle_alpha 90.00
_cell_angle_beta 90.00
_cell_angle_gamma 90.00
_space_group_name_H-M_alt 'P 1'
_space_group_IT_number 1
_space_group_name_Hall 'P 1'
loop_
_atom_site_label
_atom_site_fract_x
_atom_site_fract_y
_atom_site_fract_z
_atom_site_occupancy
H1 0.000 0.000 0.000 1
Ga1 0.000 0.500 0.000 1
Ga2 0.000 0.000 0.500 1
Si1 0.500 0.000 0.000 1
Ni1 0.500 0.500 0.500 1
```

space group	P4/mmm, No. 123

***

3.
VASP calculation (meta-GGA SCAN) on a PBEsol-optimized structure of Zr6Ga2NiH10.

Cell and atoms, written as CIF:
```
data_Zr6Ga2NiH10
_chemical_formula_sum 'Zr12 Ga4 Ni2 H20'
_cell_length_a 7.150
_cell_length_b 7.908
_cell_length_c 7.908
_cell_angle_alpha 120.00
_cell_angle_beta 90.00
_cell_angle_gamma 90.00
_space_group_name_H-M_alt 'P 1'
_space_group_IT_number 1
_space_group_name_Hall 'P 1'
loop_
_atom_site_label
_atom_site_fract_x
_atom_site_fract_y
_atom_site_fract_z
_atom_site_occupancy
Zr1 0.500 0.736 0.000 1
Zr2 0.250 0.626 0.581 1
Zr3 0.500 0.264 0.264 1
Zr4 0.750 0.045 0.419 1
Zr5 0.000 0.736 0.000 1
Zr6 0.750 0.581 0.626 1
Zr7 0.750 0.374 0.955 1
Zr8 0.250 0.955 0.374 1
Zr9 0.000 0.000 0.736 1
Zr10 0.250 0.419 0.045 1
Zr11 0.500 0.000 0.736 1
Zr12 0.000 0.264 0.264 1
H1 0.500 0.000 0.000 1
H2 0.250 0.124 0.244 1
H3 0.000 0.000 0.000 1
H4 0.500 0.276 0.000 1
H5 0.250 0.406 0.295 1
H6 0.000 0.724 0.724 1
H7 0.750 0.112 0.705 1
H8 0.750 0.880 0.756 1
H9 0.750 0.295 0.406 1
H10 0.500 0.724 0.724 1
H11 0.000 0.000 0.276 1
H12 0.500 0.000 0.276 1
H13 0.250 0.120 0.876 1
H14 0.250 0.705 0.112 1
H15 0.000 0.276 0.000 1
H16 0.250 0.888 0.594 1
H17 0.250 0.756 0.880 1
H18 0.750 0.876 0.120 1
H19 0.750 0.244 0.124 1
H20 0.750 0.594 0.888 1
Ni1 0.250 0.000 0.000 1
Ni2 0.750 0.000 0.000 1
Ga1 0.046 0.333 0.667 1
Ga2 0.454 0.333 0.667 1
Ga3 0.546 0.667 0.333 1
Ga4 0.954 0.667 0.333 1
```

space group	P-62c, No. 190

***

4.
VASP calculation (meta-GGA SCAN) on a PBEsol-optimized structure of Ga2HO.

Cell and atoms, written as CIF:
```
data_Ga2HO
_chemical_formula_sum 'Ga4 H2 O2'
_cell_length_a 4.849
_cell_length_b 5.451
_cell_length_c 4.849
_cell_angle_alpha 63.59
_cell_angle_beta 90.00
_cell_angle_gamma 116.41
_space_group_name_H-M_alt 'P 1'
_space_group_IT_number 1
_space_group_name_Hall 'P 1'
loop_
_atom_site_label
_atom_site_fract_x
_atom_site_fract_y
_atom_site_fract_z
_atom_site_occupancy
H1 0.500 0.000 0.500 1
H2 0.250 0.500 0.250 1
Ga1 0.141 0.750 0.875 1
Ga2 0.609 0.750 0.375 1
Ga3 0.875 0.250 0.609 1
Ga4 0.375 0.250 0.141 1
O1 0.000 0.000 0.000 1
O2 0.750 0.500 0.750 1
```

space group	I-42d, No. 122

***

5.
VASP calculation (meta-GGA SCAN) on a PBEsol-optimized structure of GaP3H2O10.

Cell and atoms, written as CIF:
```
data_GaP3H2O10
_chemical_formula_sum 'Ga4 P12 H8 O40'
_cell_length_a 7.359
_cell_length_b 8.718
_cell_length_c 11.638
_cell_angle_alpha 90.00
_cell_angle_beta 102.57
_cell_angle_gamma 90.00
_space_group_name_H-M_alt 'P 1'
_space_group_IT_number 1
_space_group_name_Hall 'P 1'
loop_
_atom_site_label
_atom_site_fract_x
_atom_site_fract_y
_atom_site_fract_z
_atom_site_occupancy
O1 0.136 0.257 0.948 1
O2 0.383 0.217 0.685 1
O3 0.559 0.859 0.078 1
O4 0.342 0.471 0.588 1
O5 0.306 0.089 0.105 1
O6 0.735 0.221 0.830 1
O7 0.298 0.587 0.006 1
O8 0.806 0.411 0.605 1
O9 0.117 0.717 0.815 1
O10 0.978 0.956 0.704 1
O11 0.871 0.490 0.839 1
O12 0.326 0.917 0.746 1
O13 0.364 0.757 0.552 1
O14 0.202 0.087 0.494 1
O15 0.059 0.641 0.578 1
O16 0.864 0.743 0.052 1
O17 0.129 0.510 0.161 1
O18 0.235 0.279 0.330 1
O19 0.636 0.243 0.448 1
O20 0.194 0.589 0.395 1
O21 0.629 0.990 0.661 1
O22 0.022 0.044 0.296 1
O23 0.522 0.456 0.796 1
O24 0.941 0.359 0.422 1
O25 0.658 0.529 0.412 1
O26 0.441 0.141 0.922 1
O27 0.842 0.029 0.088 1
O28 0.702 0.413 0.994 1
O29 0.765 0.721 0.670 1
O30 0.694 0.911 0.895 1
O31 0.674 0.083 0.254 1
O32 0.883 0.283 0.185 1
O33 0.371 0.010 0.339 1
O34 0.265 0.779 0.170 1
O35 0.174 0.417 0.754 1
O36 0.478 0.544 0.204 1
O37 0.826 0.583 0.246 1
O38 0.617 0.783 0.315 1
O39 0.158 0.971 0.912 1
O40 0.798 0.913 0.506 1
P1 0.221 0.113 0.366 1
P2 0.779 0.887 0.634 1
P3 0.151 0.884 0.792 1
P4 0.272 0.119 0.975 1
P5 0.728 0.881 0.025 1
P6 0.651 0.616 0.292 1
P7 0.228 0.619 0.525 1
P8 0.849 0.116 0.208 1
P9 0.772 0.381 0.475 1
P10 0.721 0.387 0.866 1
P11 0.279 0.613 0.134 1
P12 0.349 0.384 0.708 1
Ga1 0.452 0.937 0.205 1
Ga2 0.952 0.563 0.705 1
Ga3 0.548 0.063 0.795 1
Ga4 0.048 0.437 0.295 1
H1 0.646 0.179 0.377 1
H2 0.285 0.143 0.562 1
H3 0.215 0.643 0.938 1
H4 0.146 0.321 0.877 1
H5 0.354 0.821 0.623 1
H6 0.854 0.679 0.123 1
H7 0.715 0.857 0.438 1
H8 0.785 0.357 0.062 1
```

space group	P2_1/c, No. 14

***

6.
VASP calculation (meta-GGA SCAN) on a PBEsol-optimized structure of RbGa2P2H5O11.

Cell and atoms, written as CIF:
```
data_RbGa2P2H5O11
_chemical_formula_sum 'Rb4 Ga8 P8 H20 O44'
_cell_length_a 9.515
_cell_length_b 9.664
_cell_length_c 9.675
_cell_angle_alpha 77.81
_cell_angle_beta 90.00
_cell_angle_gamma 90.00
_space_group_name_H-M_alt 'P 1'
_space_group_IT_number 1
_space_group_name_Hall 'P 1'
loop_
_atom_site_label
_atom_site_fract_x
_atom_site_fract_y
_atom_site_fract_z
_atom_site_occupancy
H1 0.793 0.924 0.023 1
H2 0.469 0.054 0.104 1
H3 0.977 0.388 0.677 1
H4 0.707 0.424 0.523 1
H5 0.358 0.230 0.122 1
H6 0.413 0.231 0.964 1
H7 0.642 0.770 0.878 1
H8 0.531 0.946 0.896 1
H9 0.477 0.112 0.823 1
H10 0.087 0.731 0.464 1
H11 0.587 0.769 0.036 1
H12 0.142 0.730 0.622 1
H13 0.969 0.446 0.396 1
H14 0.031 0.554 0.604 1
H15 0.523 0.888 0.177 1
H16 0.293 0.576 0.477 1
H17 0.023 0.612 0.323 1
H18 0.858 0.270 0.378 1
H19 0.207 0.076 0.977 1
H20 0.913 0.269 0.536 1
P1 0.821 0.788 0.371 1
P2 0.975 0.793 0.851 1
P3 0.321 0.712 0.129 1
P4 0.475 0.707 0.649 1
P5 0.679 0.288 0.871 1
P6 0.025 0.207 0.149 1
P7 0.179 0.212 0.629 1
P8 0.525 0.293 0.351 1
O1 0.380 0.289 0.276 1
O2 0.591 0.441 0.299 1
O3 0.452 0.009 0.847 1
O4 0.355 0.508 0.441 1
O5 0.273 0.310 0.696 1
O6 0.502 0.260 0.514 1
O7 0.773 0.190 0.804 1
O8 0.270 0.558 0.157 1
O9 0.645 0.492 0.559 1
O10 0.620 0.711 0.724 1
O11 0.548 0.991 0.153 1
O12 0.409 0.559 0.701 1
O13 0.645 0.823 0.957 1
O14 0.952 0.491 0.653 1
O15 0.230 0.058 0.657 1
O16 0.164 0.261 0.468 1
O17 0.617 0.174 0.322 1
O18 0.145 0.008 0.941 1
O19 0.998 0.760 0.014 1
O20 0.855 0.992 0.059 1
O21 0.730 0.442 0.843 1
O22 0.770 0.942 0.343 1
O23 0.972 0.780 0.306 1
O24 0.664 0.239 0.032 1
O25 0.145 0.677 0.543 1
O26 0.028 0.220 0.694 1
O27 0.883 0.674 0.822 1
O28 0.227 0.810 0.196 1
O29 0.383 0.826 0.678 1
O30 0.836 0.739 0.532 1
O31 0.117 0.326 0.178 1
O32 0.091 0.059 0.201 1
O33 0.909 0.941 0.799 1
O34 0.528 0.280 0.806 1
O35 0.355 0.177 0.043 1
O36 0.336 0.761 0.968 1
O37 0.120 0.789 0.776 1
O38 0.498 0.740 0.486 1
O39 0.880 0.211 0.224 1
O40 0.727 0.690 0.304 1
O41 0.472 0.720 0.194 1
O42 0.002 0.240 0.986 1
O43 0.855 0.323 0.457 1
O44 0.048 0.509 0.347 1
Ga1 0.276 0.908 0.813 1
Ga2 0.049 0.892 0.129 1
Ga3 0.724 0.092 0.187 1
Ga4 0.224 0.408 0.313 1
Ga5 0.451 0.392 0.629 1
Ga6 0.549 0.608 0.371 1
Ga7 0.951 0.108 0.871 1
Ga8 0.776 0.592 0.687 1
Rb1 0.811 0.515 0.102 1
Rb2 0.689 0.015 0.602 1
Rb3 0.189 0.485 0.898 1
Rb4 0.311 0.985 0.398 1
```

space group	P2_1/c, No. 14

***

7.
VASP calculation (meta-GGA SCAN) on a PBEsol-optimized structure of Ga2Te3H6O12.

Cell and atoms, written as CIF:
```
data_Ga2Te3H6O12
_chemical_formula_sum 'Ga4 Te6 H12 O24'
_cell_length_a 8.489
_cell_length_b 8.489
_cell_length_c 8.489
_cell_angle_alpha 66.64
_cell_angle_beta 66.64
_cell_angle_gamma 66.64
_space_group_name_H-M_alt 'P 1'
_space_group_IT_number 1
_space_group_name_Hall 'P 1'
loop_
_atom_site_label
_atom_site_fract_x
_atom_site_fract_y
_atom_site_fract_z
_atom_site_occupancy
O1 0.950 0.809 0.602 1
O2 0.091 0.767 0.857 1
O3 0.004 0.872 0.226 1
O4 0.857 0.091 0.767 1
O5 0.163 0.310 0.967 1
O6 0.809 0.602 0.950 1
O7 0.967 0.163 0.310 1
O8 0.309 0.450 0.102 1
O9 0.467 0.810 0.663 1
O10 0.767 0.857 0.091 1
O11 0.663 0.467 0.810 1
O12 0.504 0.726 0.372 1
O13 0.267 0.591 0.357 1
O14 0.726 0.372 0.504 1
O15 0.602 0.950 0.809 1
O16 0.226 0.004 0.872 1
O17 0.591 0.357 0.267 1
O18 0.810 0.663 0.467 1
O19 0.872 0.226 0.004 1
O20 0.310 0.967 0.163 1
O21 0.102 0.309 0.450 1
O22 0.450 0.102 0.309 1
O23 0.372 0.504 0.726 1
O24 0.357 0.267 0.591 1
H1 0.300 0.174 0.692 1
H2 0.800 0.192 0.674 1
H3 0.692 0.300 0.174 1
H4 0.340 0.368 0.636 1
H5 0.192 0.674 0.800 1
H6 0.368 0.636 0.340 1
H7 0.136 0.868 0.840 1
H8 0.174 0.692 0.300 1
H9 0.636 0.340 0.368 1
H10 0.868 0.840 0.136 1
H11 0.674 0.800 0.192 1
H12 0.840 0.136 0.868 1
Te1 0.897 0.442 0.811 1
Te2 0.811 0.897 0.442 1
Te3 0.311 0.942 0.397 1
Te4 0.442 0.811 0.897 1
Te5 0.942 0.397 0.311 1
Te6 0.397 0.311 0.942 1
Ga1 0.341 0.341 0.341 1
Ga2 0.841 0.841 0.841 1
Ga3 0.089 0.089 0.089 1
Ga4 0.589 0.589 0.589 1
```

space group	R3c, No. 161

***

8.
VASP calculation (meta-GGA SCAN) on a PBEsol-optimized structure of GaH2Os.

Cell and atoms, written as CIF:
```
data_GaH2Os
_chemical_formula_sum 'Ga1 H2 Os1'
_cell_length_a 3.674
_cell_length_b 3.674
_cell_length_c 3.674
_cell_angle_alpha 60.00
_cell_angle_beta 60.00
_cell_angle_gamma 60.00
_space_group_name_H-M_alt 'P 1'
_space_group_IT_number 1
_space_group_name_Hall 'P 1'
loop_
_atom_site_label
_atom_site_fract_x
_atom_site_fract_y
_atom_site_fract_z
_atom_site_occupancy
Os1 0.500 0.500 0.500 1
Ga1 0.000 0.000 0.000 1
H1 0.250 0.250 0.250 1
H2 0.750 0.750 0.750 1
```

space group	Fm-3m, No. 225

***

9.
VASP calculation (meta-GGA SCAN) on a PBEsol-optimized structure of Ga2HPb2.

Cell and atoms, written as CIF:
```
data_Ga2HPb2
_chemical_formula_sum 'Ga2 H1 Pb2'
_cell_length_a 4.764
_cell_length_b 4.764
_cell_length_c 6.528
_cell_angle_alpha 111.40
_cell_angle_beta 111.40
_cell_angle_gamma 90.00
_space_group_name_H-M_alt 'P 1'
_space_group_IT_number 1
_space_group_name_Hall 'P 1'
loop_
_atom_site_label
_atom_site_fract_x
_atom_site_fract_y
_atom_site_fract_z
_atom_site_occupancy
Pb1 0.250 0.750 0.500 1
Pb2 0.750 0.250 0.500 1
Ga1 0.607 0.607 0.214 1
Ga2 0.393 0.393 0.786 1
H1 0.000 0.000 0.000 1
```

space group	I4/mmm, No. 139

***

10.
VASP calculation (meta-GGA SCAN) on a PBEsol-optimized structure of GaHPb3.

Cell and atoms, written as CIF:
```
data_GaHPb3
_chemical_formula_sum 'Ga1 H1 Pb3'
_cell_length_a 4.852
_cell_length_b 4.852
_cell_length_c 4.852
_cell_angle_alpha 90.00
_cell_angle_beta 90.00
_cell_angle_gamma 90.00
_space_group_name_H-M_alt 'P 1'
_space_group_IT_number 1
_space_group_name_Hall 'P 1'
loop_
_atom_site_label
_atom_site_fract_x
_atom_site_fract_y
_atom_site_fract_z
_atom_site_occupancy
Pb1 0.000 0.500 0.000 1
Pb2 0.000 0.000 0.500 1
Pb3 0.500 0.000 0.000 1
Ga1 0.500 0.500 0.500 1
H1 0.000 0.000 0.000 1
```

space group	Pm-3m, No. 221

***

11.
VASP calculation (meta-GGA SCAN) on a PBEsol-optimized structure of GaHPd2.

Cell and atoms, written as CIF:
```
data_GaHPd2
_chemical_formula_sum 'Ga2 H2 Pd4'
_cell_length_a 4.962
_cell_length_b 4.962
_cell_length_c 4.962
_cell_angle_alpha 107.21
_cell_angle_beta 107.21
_cell_angle_gamma 114.09
_space_group_name_H-M_alt 'P 1'
_space_group_IT_number 1
_space_group_name_Hall 'P 1'
loop_
_atom_site_label
_atom_site_fract_x
_atom_site_fract_y
_atom_site_fract_z
_atom_site_occupancy
Pd1 0.125 0.532 0.907 1
Pd2 0.468 0.375 0.593 1
Pd3 0.625 0.218 0.093 1
Pd4 0.782 0.875 0.407 1
H1 0.500 0.500 0.000 1
H2 0.750 0.250 0.500 1
Ga1 0.000 0.000 0.000 1
Ga2 0.250 0.750 0.500 1
```

space group	I-42d, No. 122

***

12.
VASP calculation (meta-GGA SCAN) on a PBEsol-optimized structure of GaHPt3.

Cell and atoms, written as CIF:
```
data_GaHPt3
_chemical_formula_sum 'Ga1 H1 Pt3'
_cell_length_a 3.962
_cell_length_b 3.962
_cell_length_c 3.962
_cell_angle_alpha 90.00
_cell_angle_beta 90.00
_cell_angle_gamma 90.00
_space_group_name_H-M_alt 'P 1'
_space_group_IT_number 1
_space_group_name_Hall 'P 1'
loop_
_atom_site_label
_atom_site_fract_x
_atom_site_fract_y
_atom_site_fract_z
_atom_site_occupancy
H1 0.000 0.000 0.000 1
Pt1 0.000 0.500 0.000 1
Pt2 0.500 0.000 0.000 1
Pt3 0.000 0.000 0.500 1
Ga1 0.500 0.500 0.500 1
```

space group	Pm-3m, No. 221

***

Number 1: uncorrected energy -69.76 eV/cell, total moment 0.00 Bohr magnetons per cell. Number 2: uncorrected energy -60.04 eV/cell, total moment 0.00 Bohr magnetons per cell. Number 3: uncorrected energy -556.45 eV/cell, total moment 0.00 Bohr magnetons per cell. Number 4: uncorrected energy -87.24 eV/cell, total moment 0.00 Bohr magnetons per cell. Number 5: uncorrected energy -602.98 eV/cell, total moment 0.00 Bohr magnetons per cell. Number 6: uncorrected energy -802.88 eV/cell, total moment 0.00 Bohr magnetons per cell. Number 7: uncorrected energy -539.06 eV/cell, total moment 0.00 Bohr magnetons per cell. Number 8: uncorrected energy -91.01 eV/cell, total moment 0.00 Bohr magnetons per cell. Number 9: uncorrected energy -184.96 eV/cell, total moment 0.91 Bohr magnetons per cell. Number 10: uncorrected energy -245.59 eV/cell, total moment 0.00 Bohr magnetons per cell. Number 11: uncorrected energy -173.58 eV/cell, total moment 0.00 Bohr magnetons per cell. Number 12: uncorrected energy -231.40 eV/cell, total moment 0.00 Bohr magnetons per cell.